The following is a PBE calculation of crystalline Tm4Sn at its relaxed geometry, from Alexandria.

a b c (Å): 9.1507 9.1507 7.7316
angles (deg): 90.00 90.00 90.00
Space group I4_1/amd (No. 141, origin choice 2)
Symmetry-distinct sites (fractional):
Tm 0.0000 0.0655 0.2219 [16 per cell]
Sn 0.0000 0.2500 0.8750 [4 per cell]

* ΔE_f: -0.064 eV per atom
* DFT total energy: -4.4414 eV per atom
* total magnetization: 0.00 μB/f.u.
* calculated volume: 32.37 Å³ per atom


The following is a PBE calculation of crystalline Ac2UN3O3 at its relaxed geometry, from Alexandria.

a b c (Å): 6.4359 6.4359 3.5875
angles (deg): 90.00 90.00 120.00
Space group P-62m (No. 189)
Symmetry-distinct sites (fractional):
Ac 0.3333 0.6667 0.0000 [2 per cell]
U 0.0000 0.0000 0.5000 [1 per cell]
N 0.0000 0.2153 0.0000 [3 per cell]
O 0.0000 0.6151 0.5000 [3 per cell]

* DFT total energy: -8.2426 eV per atom
* total magnetization: 2.40 μB/f.u.
* calculated volume: 14.30 Å³ per atom
* raw formation energy: -1.65 eV per atom


The following is a PBE calculation of crystalline AcCeInBi at its relaxed geometry, from Alexandria.

a b c (Å): 8.0805 8.0805 8.0805
angles (deg): 90.00 90.00 90.00
Space group F-43m (No. 216)
Symmetry-distinct sites (fractional):
Ac 0.0000 0.0000 0.0000 [4 per cell]
Ce 0.0000 0.0000 0.5000 [4 per cell]
In 0.2500 0.2500 0.2500 [4 per cell]
Bi 0.2500 0.2500 0.7500 [4 per cell]

* ΔE_f: -0.430 eV per atom
* DFT total energy: -4.5958 eV per atom
* total magnetization: 1.65 μB/f.u.
* calculated volume: 32.98 Å³ per atom


The following is a PBE calculation of crystalline NaDyCdPb at its relaxed geometry, from Alexandria.

a b c (Å): 7.5285 7.5285 7.5285
angles (deg): 90.00 90.00 90.00
Space group F-43m (No. 216)
Symmetry-distinct sites (fractional):
Na 0.0000 0.0000 0.0000 [4 per cell]
Dy 0.0000 0.0000 0.5000 [4 per cell]
Cd 0.2500 0.2500 0.7500 [4 per cell]
Pb 0.2500 0.2500 0.2500 [4 per cell]

* ΔE_f: -0.275 eV per atom
* DFT total energy: -2.9109 eV per atom
* total magnetization: 0.00 μB/f.u.
* calculated volume: 26.67 Å³ per atom


The following is a PBE calculation of crystalline AgAu2F8 at its relaxed geometry, from Alexandria.

a b c (Å): 5.7338 5.7338 10.6908
angles (deg): 90.00 90.00 90.00
Space group I422 (No. 97)
Symmetry-distinct sites (fractional):
Ag 0.0000 0.0000 0.0000 [2 per cell]
Au 0.0000 0.5000 0.2500 [4 per cell]
F 0.1664 0.3181 0.8778 [16 per cell]

* DFT total energy: -3.2531 eV per atom
* total magnetization: 1.08 μB/f.u.
* calculated volume: 15.98 Å³ per atom
* raw formation energy: -1.04 eV per atom


The following is a PBE calculation of crystalline CaCd2Br at its relaxed geometry, from Alexandria.

a b c (Å): 3.6400 3.6400 8.9396
angles (deg): 90.00 90.00 90.00
Space group P4mm (No. 99)
Symmetry-distinct sites (fractional):
Ca 0.0000 0.0000 0.0000 [1 per cell]
Cd 0.0000 0.0000 0.4327 [1 per cell]
Cd 0.5000 0.5000 0.2521 [1 per cell]
Br 0.5000 0.5000 0.8231 [1 per cell]

* DFT total energy: -2.0372 eV per atom
* total magnetization: 0.00 μB/f.u.
* calculated volume: 29.61 Å³ per atom
* raw formation energy: -0.66 eV per atom


Copy entry 5 word for word.
The following is a PBE calculation of crystalline AgAu2F8 at its relaxed geometry, from Alexandria.

a b c (Å): 5.7338 5.7338 10.6908
angles (deg): 90.00 90.00 90.00
Space group I422 (No. 97)
Symmetry-distinct sites (fractional):
Ag 0.0000 0.0000 0.0000 [2 per cell]
Au 0.0000 0.5000 0.2500 [4 per cell]
F 0.1664 0.3181 0.8778 [16 per cell]

* DFT total energy: -3.2531 eV per atom
* total magnetization: 1.08 μB/f.u.
* calculated volume: 15.98 Å³ per atom
* raw formation energy: -1.04 eV per atom


Look up the DFT total energy of the third one. -4.5958 eV per atom


Copy entry 1 word for word.
The following is a PBE calculation of crystalline Tm4Sn at its relaxed geometry, from Alexandria.

a b c (Å): 9.1507 9.1507 7.7316
angles (deg): 90.00 90.00 90.00
Space group I4_1/amd (No. 141, origin choice 2)
Symmetry-distinct sites (fractional):
Tm 0.0000 0.0655 0.2219 [16 per cell]
Sn 0.0000 0.2500 0.8750 [4 per cell]

* ΔE_f: -0.064 eV per atom
* DFT total energy: -4.4414 eV per atom
* total magnetization: 0.00 μB/f.u.
* calculated volume: 32.37 Å³ per atom


Look up the calculated volume of the sixth one. 29.61 Å³ per atom